A plane-wave DFT calculation with GGA-PBE was carried out for a relaxed structure of Ac2InPb4.

Calculated values
**Raw total energy**: -4.0299 eV/atom
**Calculated volume**: 35.07 Å³ per atom
**Formation energy from the elements**: -234 kJ/mol of formula units

a = 9.7871 Å, b = 9.8459 Å, c = 10.1913 Å
α = 90.00°, β = 90.00°, γ = 90.00°
Closest atoms and distances in Å follow each position.
Space group Fmmm (No. 69)
One atom of each set of equivalent atoms:
1 Ac 0.2500 0.2500 0.0000 x8  2 In 3.47, 8 Pb 3.53-3.54
2 In 0.0000 0.0000 0.0000 x4  4 Ac 3.47, 8 Pb 3.53-3.54
3 Pb 0.0000 0.2500 0.2500 x8  4 Pb 3.47, 4 Ac 3.53, 2 In 3.54
4 Pb 0.2500 0.0000 0.2500 x8  4 Pb 3.47, 2 In 3.53, 4 Ac 3.54